Record 1
# RbYAgTe2

A geometry-optimized RbYAgTe2 structure (PBE, Alexandria).

Computed properties:
Volume: 35.87 A^3/atom
ΔE_f (raw): -0.825 eV/atom

The structure in POSCAR format:
```
RbYAgTe2
1.0
4.808 0.000 0.000
0.000 8.407 1.210
0.000 -1.368 8.676
Rb Y Ag Te
2 2 2 4
Direct
0.013 0.500 0.750
0.987 0.500 0.250
0.500 0.000 0.250
0.500 0.000 0.750
0.000 0.000 0.000
0.000 0.000 0.500
0.576 0.756 0.997
0.576 0.244 0.503
0.424 0.756 0.497
0.424 0.244 0.003
```



Record 2
# Hf3HgC

A geometry-optimized Hf3HgC structure (PBE, Alexandria).

Computed properties:
Energy of formation: 1.81 eV/f.u.
ΔE to the lowest computed polymorph: 871.4 meV/atom
Volume: 21.49 A^3/atom

The structure in POSCAR format:
```
Hf3HgC
1.0
5.786 0.000 0.000
0.000 5.786 0.000
2.893 2.893 6.421
C Hf Hg
2 6 2
Direct
0.000 0.000 0.000
0.250 0.750 0.500
0.139 0.885 0.231
0.115 0.861 0.769
0.115 0.370 0.769
0.630 0.885 0.231
0.321 0.321 0.357
0.679 0.679 0.643
0.620 0.120 0.760
0.880 0.380 0.240
```



Record 3
# NaAc2Zn

A geometry-optimized NaAc2Zn structure (PBE, Alexandria).

Computed properties:
Energy of formation: 0.41 eV/f.u.
ΔE to the lowest computed polymorph: 150.4 meV/atom
Volume: 40.43 A^3/atom

The structure in POSCAR format:
```
NaAc2Zn
1.0
3.904 0.000 0.000
1.952 3.381 0.000
1.952 1.127 12.256
Na Ac Zn
1 2 1
Direct
0.000 0.000 0.000
0.104 0.104 0.688
0.896 0.896 0.312
0.500 0.500 0.500
```



Record 4
# BeTlFe

A geometry-optimized BeTlFe structure (PBE, Alexandria).

Computed properties:
Energy of formation: 1.46 eV/f.u.
ΔE to the lowest computed polymorph: 0.0 meV/atom
Volume: 15.02 A^3/atom

The structure in POSCAR format:
```
BeTlFe
1.0
5.221 0.019 -0.038
3.434 3.982 -0.006
-4.330 -2.018 2.196
Be Tl Fe
1 1 1
Direct
0.949 0.947 0.002
0.671 0.671 0.000
0.381 0.382 0.998
```



Record 5
# GaAgSn

A geometry-optimized GaAgSn structure (PBE, Alexandria).

Computed properties:
Energy of formation: 0.15 eV/f.u.
Volume: 22.14 A^3/atom

The structure in POSCAR format:
```
GaAgSn
1.0
-1.029 1.359 4.546
5.049 -2.080 3.469
-0.162 4.848 -1.386
Ga Ag Sn
2 2 2
Direct
0.491 0.219 0.142
0.276 0.029 0.447
0.057 0.981 0.932
0.709 0.267 0.657
0.094 0.555 0.019
0.672 0.693 0.570
```



Record 6
# PmSi2PdAu

A geometry-optimized PmSi2PdAu structure (PBE, Alexandria).

Computed properties:
Volume: 18.40 A^3/atom
ΔE_f (raw): -0.786 eV/atom

The structure in POSCAR format:
```
PmSi2PdAu
1.0
4.251 0.000 0.000
0.000 4.251 0.000
-2.125 -2.125 5.093
Pm Si Pd Au
1 2 1 1
Direct
0.000 0.000 0.000
0.615 0.615 0.230
0.385 0.385 0.770
0.750 0.250 0.500
0.250 0.750 0.500
```



N(E_F) values, unit states/eV/cell, following the record order: 3.68 7.87 4.79 1.84 2.42 2.07.